VASP calculation (PBE with a Hubbard U) on an optimized crystal structure of CrPtF2.

It has space group I-42d (No. 122), with a = 5.142 Å, b = 5.142 Å, c = 10.915 Å, α = 90.00°, β = 90.00° and γ = 90.00°. Symmetry generates all atoms from Cr at (0.000, 0.000, 0.000), Pt at (0.000, 0.000, 0.500) and F at (0.143, 0.250, 0.125).

The calculation puts the distance to the lowest polymorph of the same formula at 0.14 eV/f.u. Its energy is -4.933 eV/atom.